(1)
Compound: AlIn2F8
Source: Alexandria
Functional: GGA-PBE
Structure: relaxed

ΔE_f (raw) = -2.71 eV per atom
magnetic moment = 0.00 μB per formula unit

abc: 5.7887 5.7887 4.5327
angles: 104.78 104.78 74.97
Sites, in units of the cell vectors:
1 Al 0.0000 0.0000 0.0000
2 In 0.3326 0.3326 0.6443
3 In 0.6674 0.6674 0.3557
4 F 0.0518 0.6879 0.7450
5 F 0.1230 0.1230 0.7673
6 F 0.3121 0.9482 0.2550
7 F 0.4106 0.4106 0.2025
8 F 0.5894 0.5894 0.7975
9 F 0.6879 0.0518 0.7450
10 F 0.8770 0.8770 0.2327
11 F 0.9482 0.3121 0.2550

***

(2)
Compound: LiTmGaAu
Source: Alexandria
Functional: GGA-PBE
Structure: relaxed

magnetic moment = 0.00 μB per formula unit
energy relative to the elements = -0.614 eV/atom
energy above the most stable polymorph in this dataset = 0.0000 eV/atom

abc: 4.6748 4.6748 4.6748
angles: 60.00 60.00 60.00
Sites, in units of the cell vectors:
1 Li 0.0000 0.0000 0.0000
2 Tm 0.2500 0.2500 0.2500
3 Ga 0.7500 0.7500 0.7500
4 Au 0.5000 0.5000 0.5000

***

(3)
Compound: Nd2SmZn
Source: Alexandria
Functional: GGA-PBE
Structure: relaxed

magnetic moment = 0.00 μB per formula unit
energy relative to the elements = 0.053 eV/atom
energy above the most stable polymorph in this dataset = 0.1993 eV/atom

abc: 5.4829 5.4829 5.4829
angles: 60.00 60.00 60.00
Sites, in units of the cell vectors:
1 Nd 0.2500 0.2500 0.2500
2 Nd 0.7500 0.7500 0.7500
3 Sm 0.0000 0.0000 0.0000
4 Zn 0.5000 0.5000 0.5000

***

(4)
Compound: Pm8Cd3Os2
Source: Alexandria
Functional: GGA-PBE
Structure: relaxed

magnetic moment = 0.00 μB per formula unit
energy relative to the elements = -0.071 eV/atom

abc: 9.8588 9.8588 4.9540
angles: 92.47 92.47 49.90
Sites, in units of the cell vectors:
1 Pm 0.0436 0.6126 0.2477
2 Pm 0.0714 0.0714 0.2532
3 Pm 0.3356 0.3356 0.7613
4 Pm 0.3874 0.9564 0.7523
5 Pm 0.6126 0.0436 0.2477
6 Pm 0.6644 0.6644 0.2387
7 Pm 0.9286 0.9286 0.7468
8 Pm 0.9564 0.3874 0.7523
9 Cd 0.3179 0.6821 0.0000
10 Cd 0.5000 0.5000 0.5000
11 Cd 0.6821 0.3179 0.0000
12 Os 0.2288 0.2288 0.2258
13 Os 0.7712 0.7712 0.7742